Entry 1:
NbAlZn | PBE-GGA | relaxed

Results
Energy: -13.43 eV per formula unit
Density: 5.2 g cm⁻³

abc: 4.377 4.377 4.377
angles: 60.00 60.00 60.00
Fractional positions:
Al 0.250 0.250 0.250
Nb 0.000 0.000 0.000
Zn 0.750 0.750 0.750

Entry 2:
NbAlZn | PBE-GGA | relaxed

Results
Energy: -13.91 eV per formula unit
Density: 5.6 g cm⁻³

abc: 4.264 4.264 4.264
angles: 60.00 60.00 60.00
Fractional positions:
Al 0.000 0.000 0.000
Nb 0.250 0.250 0.250
Zn 0.750 0.750 0.750